[1]
The following is a DFT calculation (PBE-GGA) of a geometry-optimized Ho11Tl9Hg4 structure.

Results
ΔH_f (0 K) in kcal/mol of atoms: -7.8
N(E_F) in states/eV per cell: 17.22
Symmetry: Cmmm, No. 65

```
24
Lattice="3.762 0.000 0.000 0.000 12.518 -5.325 0.000 0.023 13.603" Properties=species:S:1:pos:R:3 pbc="T T T"
Hg 1.881 6.896 7.208
Hg 1.881 5.645 1.070
Hg 1.881 9.338 3.508
Hg 1.881 3.202 4.770
Ho 0.000 0.853 5.250
Ho 0.000 10.483 -2.242
Ho 0.000 0.000 0.000
Ho 0.000 7.377 9.557
Ho 0.000 3.533 2.332
Ho 0.000 5.163 -1.278
Ho 0.000 11.687 3.028
Ho 0.000 2.058 10.520
Ho 0.000 4.466 6.872
Ho 0.000 9.007 5.946
Ho 0.000 8.074 1.406
Tl 1.881 1.801 7.835
Tl 1.881 9.925 8.651
Tl 1.881 2.615 -0.373
Tl 1.881 6.270 4.139
Tl 1.881 4.628 9.701
Tl 1.881 11.856 5.727
Tl 1.881 0.685 2.552
Tl 1.881 10.739 0.443
Tl 1.881 7.913 -1.422
```

[2]
The following is a DFT calculation (PBE-GGA) of a geometry-optimized Cr4Pt2Rh3 structure.

Results
ΔH_f (0 K) in kcal/mol of atoms: -3.0
N(E_F) in states/eV per cell: 11.96
Symmetry: C2/m, No. 12

```
9
Lattice="3.818 0.000 0.001 1.908 4.170 0.754 -0.002 0.992 7.995" Properties=species:S:1:pos:R:3 pbc="T T T"
Rh 3.817 3.367 4.995
Rh 0.000 0.000 0.000
Rh 1.908 1.796 3.754
Pt 3.817 2.945 2.215
Pt 1.908 2.218 6.535
Cr 3.816 3.750 7.532
Cr 1.909 1.413 1.218
Cr 3.817 0.713 5.330
Cr 1.908 4.450 3.420
```

[3]
The following is a DFT calculation (PBE-GGA) of a geometry-optimized ScNb2Ga structure.

Results
ΔH_f (0 K) in kcal/mol of atoms: -1.0
N(E_F) in states/eV per cell: 8.75
Symmetry: P2_1/m, No. 11

```
8
Lattice="-4.409 -0.884 1.557 -0.526 -3.249 -3.333 2.980 -3.630 6.377" Properties=species:S:1:pos:R:3 pbc="T T T"
Sc -2.614 -4.138 1.157
Sc 0.659 -3.625 3.445
Ga -0.346 -1.687 1.699
Ga -1.609 -6.075 2.903
Nb 1.066 -6.546 2.938
Nb -3.021 -1.216 1.663
Nb -0.813 -5.485 5.493
Nb -1.142 -2.277 -0.891
```

[4]
The following is a DFT calculation (PBE-GGA) of a geometry-optimized Rb2TiI7 structure.

Results
N(E_F) in states/eV per cell: 7.48
Symmetry: I4/mmm, No. 139
Energy relative to the elements, uncorrected in meV per atom: -808

```
10
Lattice="8.765 0.000 0.000 0.000 8.765 0.000 4.383 4.383 6.554" Properties=species:S:1:pos:R:3 pbc="T T T"
Rb 4.383 8.765 3.277
Rb 8.765 4.383 3.277
Ti 4.383 4.383 0.000
I 4.383 4.383 2.759
I 6.351 2.414 0.000
I 0.000 0.000 0.000
I 8.765 8.765 3.795
I 2.414 6.351 0.000
I 2.414 2.414 0.000
I 6.351 6.351 0.000
```